1.
A plane-wave DFT calculation with PBE was carried out for an optimized crystal structure of Tl2PSe3.

Output
formation energy (no corrections): -0.325 eV per atom
energy above the most stable polymorph in this dataset: 0.00 eV per formula unit
theoretical density: 6.2 g cm⁻³

Lattice parameters (Å, degrees): 9.165 12.522 12.864 101.16 90.00 90.00
Positions (direct):
1 P 0.922 0.433 0.016
2 P 0.422 0.567 0.484
3 P 0.078 0.567 0.984
4 P 0.578 0.433 0.516
5 P 0.074 0.004 0.429
6 P 0.574 0.996 0.071
7 P 0.926 0.996 0.571
8 P 0.426 0.004 0.929
9 Se 0.831 0.160 0.623
10 Se 0.331 0.840 0.877
11 Se 0.169 0.840 0.377
12 Se 0.669 0.160 0.123
13 Se 0.122 0.668 0.144
14 Se 0.622 0.332 0.356
15 Se 0.878 0.332 0.856
16 Se 0.378 0.668 0.644
17 Se 0.762 0.869 0.509
18 Se 0.262 0.131 0.991
19 Se 0.238 0.131 0.491
20 Se 0.738 0.869 0.009
21 Se 0.722 0.520 0.085
22 Se 0.222 0.480 0.415
23 Se 0.278 0.480 0.915
24 Se 0.778 0.520 0.585
25 Se 0.027 0.342 0.125
26 Se 0.527 0.658 0.375
27 Se 0.973 0.658 0.875
28 Se 0.473 0.342 0.625
29 Se 0.934 0.052 0.305
30 Se 0.434 0.948 0.195
31 Se 0.066 0.948 0.695
32 Se 0.566 0.052 0.805
33 Tl 0.962 0.294 0.455
34 Tl 0.462 0.706 0.045
35 Tl 0.038 0.706 0.545
36 Tl 0.538 0.294 0.955
37 Tl 0.892 0.097 0.931
38 Tl 0.392 0.903 0.569
39 Tl 0.108 0.903 0.069
40 Tl 0.608 0.097 0.431
41 Tl 0.817 0.800 0.244
42 Tl 0.317 0.200 0.256
43 Tl 0.183 0.200 0.756
44 Tl 0.683 0.800 0.744
45 Tl 0.655 0.519 0.811
46 Tl 0.155 0.481 0.689
47 Tl 0.345 0.481 0.189
48 Tl 0.845 0.519 0.311


2.
A plane-wave DFT calculation with PBE was carried out for an optimized crystal structure of Tl2PSe.

Output
formation energy (no corrections): 0.094 eV per atom
DOS(E_F): 0.57 states/eV/atom
energy above the most stable polymorph in this dataset: 0.30 eV per formula unit
theoretical density: 8.2 g cm⁻³

Lattice parameters (Å, degrees): 6.239 6.239 6.239 147.87 124.14 65.92
Positions (direct):
1 Tl 0.996 0.996 0.000
2 Tl 0.284 0.784 0.500
3 P 0.529 0.529 0.000
4 Se 0.691 0.191 0.500


3.
A plane-wave DFT calculation with PBE was carried out for an optimized crystal structure of Tl2PSe5.

Output
formation energy (no corrections): -0.174 eV per atom
DOS(E_F): 0.17 states/eV/atom
theoretical density: 6.0 g cm⁻³

Lattice parameters (Å, degrees): 6.383 6.463 7.565 119.66 98.81 110.60
Positions (direct):
1 Tl 0.337 0.038 0.543
2 Tl 0.930 0.343 0.508
3 P 0.827 0.946 0.882
4 Se 0.539 0.052 0.961
5 Se 0.207 0.327 0.138
6 Se 0.823 0.658 0.970
7 Se 0.325 0.618 0.013
8 Se 0.789 0.796 0.540


4.
A plane-wave DFT calculation with PBE was carried out for an optimized crystal structure of Tl2PSe.

Output
formation energy (no corrections): 0.392 eV per atom
DOS(E_F): 0.98 states/eV/atom
energy above the most stable polymorph in this dataset: 1.49 eV per formula unit
theoretical density: 8.6 g cm⁻³

Lattice parameters (Å, degrees): 5.211 5.211 5.211 60.00 60.00 60.00
Positions (direct):
1 Tl 0.000 0.000 0.000
2 Tl 0.250 0.250 0.250
3 P 0.500 0.500 0.500
4 Se 0.750 0.750 0.750


5.
A plane-wave DFT calculation with PBE was carried out for an optimized crystal structure of Tl4PSe6.

Output
formation energy (no corrections): -0.209 eV per atom
DOS(E_F): 0.56 states/eV/atom
theoretical density: 5.9 g cm⁻³

Lattice parameters (Å, degrees): 7.290 8.819 13.223 82.71 74.00 65.59
Positions (direct):
1 Tl 0.304 0.969 0.652
2 Tl 0.075 0.469 0.152
3 Tl 0.846 0.290 0.458
4 Tl 0.406 0.790 0.958
5 Tl 0.964 0.679 0.682
6 Tl 0.676 0.179 0.182
7 Tl 0.689 0.305 0.802
8 Tl 0.204 0.805 0.302
9 P 0.681 0.738 0.401
10 P 0.179 0.238 0.901
11 Se 0.406 0.543 0.127
12 Se 0.924 0.043 0.627
13 Se 0.458 0.617 0.467
14 Se 0.457 0.117 0.967
15 Se 0.547 0.003 0.450
16 Se 0.999 0.503 0.950
17 Se 0.992 0.083 0.946
18 Se 0.979 0.583 0.446
19 Se 0.055 0.188 0.243
20 Se 0.513 0.688 0.743
21 Se 0.273 0.270 0.726
22 Se 0.732 0.770 0.226


6.
A plane-wave DFT calculation with PBE was carried out for an optimized crystal structure of TlPSe2.

Output
formation energy (no corrections): 0.019 eV per atom
DOS(E_F): 0.08 states/eV/atom
theoretical density: 4.8 g cm⁻³

Lattice parameters (Å, degrees): 6.818 6.818 7.569 63.23 63.23 90.00
Positions (direct):
1 P 0.500 0.500 0.000
2 P 0.250 0.750 0.500
3 Tl 0.000 0.000 0.000
4 Tl 0.750 0.250 0.500
5 Se 0.519 0.125 0.250
6 Se 0.231 0.625 0.250
7 Se 0.375 0.481 0.750
8 Se 0.875 0.769 0.750